# AgTePt2 PBE relaxed
data_AgTePt2
_cell_length_a 4.081
_cell_length_b 4.081
_cell_length_c 18.763
_cell_angle_alpha 90.00
_cell_angle_beta 90.00
_cell_angle_gamma 90.00
_symmetry_space_group_name_H-M 'I -4 2 d'
_symmetry_Int_Tables_number 122
_symmetry_space_group_name_Hall 'I -4 2bw'
loop_
_atom_site_label
_atom_site_type_symbol
_atom_site_fract_x
_atom_site_fract_y
_atom_site_fract_z
Ag1 Ag 0.000 0.000 0.000
Te1 Te 0.000 0.000 0.500
Pt1 Pt 0.244 0.250 0.625
# E_form (uncorrected) = 0.5 eV/f.u.
# crystal system = tetragonal
# density of states at the Fermi level = 3.67 states/eV/f.u.